[1]
## GaCu8Au2 (GGA-PBE)

Data for a relaxed GaCu8Au2 crystal.

Output
The formation energy is -0.049 eV per atom. The calculation puts the polymorph energy (0 for the lowest one) at 0.000 eV/atom.

a = 4.591 Å, b = 4.596 Å, c = 7.141 Å
α = 90.53°, β = 95.35°, γ = 99.98°
Fractional coordinates of all 11 atoms:
Ga 0.000 0.000 0.000
Cu 0.101 0.184 0.361
Cu 0.273 0.544 0.090
Cu 0.364 0.742 0.458
Cu 0.468 0.912 0.822
Cu 0.532 0.088 0.178
Cu 0.636 0.258 0.542
Cu 0.727 0.456 0.910
Cu 0.899 0.816 0.639
Au 0.185 0.367 0.722
Au 0.815 0.633 0.278

[2]
## Pm5Er5Sc2 (GGA-PBE)

Data for a relaxed Pm5Er5Sc2 crystal.

Output
The formation energy is 0.036 eV per atom.

a = 7.882 Å, b = 7.882 Å, c = 11.185 Å
α = 115.12°, β = 115.12°, γ = 36.75°
Fractional coordinates of all 12 atoms:
Pm 0.000 0.000 0.000
Pm 0.082 0.082 0.751
Pm 0.166 0.166 0.499
Pm 0.834 0.834 0.501
Pm 0.918 0.918 0.249
Er 0.246 0.246 0.247
Er 0.334 0.334 0.999
Er 0.500 0.500 0.500
Er 0.666 0.666 0.001
Er 0.754 0.754 0.753
Sc 0.416 0.416 0.750
Sc 0.584 0.584 0.250

[3]
## SrFe2I8 (GGA-PBE)

Data for a relaxed SrFe2I8 crystal.

Output
The value obtained for the formation energy (no corrections) is -0.576 eV per atom.

a = 9.081 Å, b = 9.081 Å, c = 7.269 Å
α = 96.17°, β = 96.17°, γ = 78.95°
Fractional coordinates of all 11 atoms:
Sr 0.000 0.000 0.000
Fe 0.200 0.200 0.656
Fe 0.800 0.800 0.344
I 0.070 0.706 0.247
I 0.203 0.203 0.302
I 0.294 0.930 0.753
I 0.372 0.372 0.805
I 0.628 0.628 0.195
I 0.706 0.070 0.247
I 0.797 0.797 0.698
I 0.930 0.294 0.753

[4]
## YIrRh (GGA-PBE)

Data for a relaxed YIrRh crystal.

Output
The formation energy is -0.173 eV per atom. The calculation puts the polymorph energy (0 for the lowest one) at 0.596 eV/atom.

a = 6.307 Å, b = 6.307 Å, c = 6.307 Å
α = 152.18°, β = 152.18°, γ = 39.76°
Fractional coordinates of all 3 atoms:
Y 0.000 0.000 0.000
Ir 0.323 0.323 0.000
Rh 0.682 0.682 0.000

[5]
## AcTb2Zn (GGA-PBE)

Data for a relaxed AcTb2Zn crystal.

Output
The formation energy is 0.042 eV per atom. The calculation puts the polymorph energy (0 for the lowest one) at 0.167 eV/atom.

a = 4.876 Å, b = 4.876 Å, c = 5.078 Å
α = 90.00°, β = 90.00°, γ = 90.00°
Fractional coordinates of all 4 atoms:
Ac 0.000 0.000 0.000
Tb 0.000 0.500 0.500
Tb 0.500 0.000 0.500
Zn 0.500 0.500 0.000

[6]
## NbNiSe2 (GGA-PBE)

Data for a relaxed NbNiSe2 crystal.

Output
The value obtained for the formation energy (no corrections) is -0.652 eV per atom. The calculation puts the polymorph energy (0 for the lowest one) at 0.000 eV/atom.

a = 8.116 Å, b = 6.124 Å, c = 7.802 Å
α = 90.00°, β = 118.64°, γ = 90.00°
Fractional coordinates of all 16 atoms:
Nb 0.022 0.020 0.316
Nb 0.022 0.480 0.816
Nb 0.978 0.520 0.184
Nb 0.978 0.980 0.684
Ni 0.123 0.642 0.560
Ni 0.123 0.858 0.060
Ni 0.877 0.142 0.940
Ni 0.877 0.358 0.440
Se 0.204 0.250 0.133
Se 0.204 0.250 0.633
Se 0.298 0.745 0.398
Se 0.298 0.755 0.898
Se 0.702 0.245 0.102
Se 0.702 0.255 0.602
Se 0.796 0.750 0.367
Se 0.796 0.750 0.867

[7]
## Er2Mn17C2 (GGA-PBE)

Data for a relaxed Er2Mn17C2 crystal.

Output
The formation energy is -0.081 eV per atom.

a = 6.395 Å, b = 6.395 Å, c = 6.428 Å
α = 96.22°, β = 96.22°, γ = 83.79°
Fractional coordinates of all 21 atoms:
Er 0.149 0.149 0.351
Er 0.851 0.851 0.649
Mn 0.000 0.500 0.000
Mn 0.148 0.148 0.875
Mn 0.163 0.641 0.339
Mn 0.218 0.495 0.721
Mn 0.223 0.777 0.000
Mn 0.359 0.837 0.661
Mn 0.404 0.404 0.098
Mn 0.495 0.218 0.721
Mn 0.500 0.000 0.000
Mn 0.500 0.500 0.500
Mn 0.505 0.782 0.279
Mn 0.596 0.596 0.902
Mn 0.641 0.163 0.339
Mn 0.777 0.223 0.000
Mn 0.782 0.505 0.279
Mn 0.837 0.359 0.661
Mn 0.852 0.852 0.125
C 0.000 0.500 0.500
C 0.500 0.000 0.500

The calculation returns the following raw total energy values, one per record and in order: -42.89; -58.80; -37.34; -23.20; -14.48; -101.72; -185.15 eV per cell.